A relaxed Na2CrBiSe4 crystal, computed with PBE.

Lattice parameters (Å, degrees): 4.0063 7.0120 7.3797 108.36 90.00 90.00
Last column: magnetic moment on the atom in μB.
Fractional coordinates of all 8 atoms:
Na (0.5000, 0.0000, 0.5000)  0.00
Na (0.0000, 0.5000, 0.5000)  0.00
Se (0.0000, 0.7063, 0.2066)  -0.08
Cr (0.5000, 0.5000, 0.0000)  3.03
Se (0.0000, 0.2937, 0.7934)  -0.08
Se (0.5000, 0.2759, 0.2253)  -0.04
Bi (0.0000, 0.0000, 0.0000)  0.04
Se (0.5000, 0.7241, 0.7747)  -0.04

- Magnetic moment: 2.997 μB/cell
- Space-group type: P2/m, No. 10
- Uncorrected energy: -4.475 eV per atom


A relaxed Na2CrBiSe crystal, computed with PBE.

Lattice parameters (Å, degrees): 5.6374 5.0781 5.6374 90.00 90.00 90.00
Last column: magnetic moment on the atom in μB.
Fractional coordinates of all 5 atoms:
Cr (0.0000, 0.0000, 0.0000)  3.75
Se (0.5000, 0.5000, 0.5000)  0.00
Bi (0.0000, 0.5000, 0.0000)  -0.31
Na (0.5000, 0.0000, 0.0000)  0.02
Na (0.0000, 0.0000, 0.5000)  0.02

- Magnetic moment: 4.002 μB/cell
- Space-group type: P4/mmm, No. 123
- Uncorrected energy: -3.520 eV per atom


A relaxed Na4CrBi3Se8 crystal, computed with PBE.

Lattice parameters (Å, degrees): 8.2682 8.5328 8.2682 119.00 120.00 90.00
Last column: magnetic moment on the atom in μB.
Fractional coordinates of all 16 atoms:
Na (0.0000, 0.0000, 0.5000)  0.00
Cr (0.0000, 0.5000, 0.0000)  3.01
Bi (0.0000, 0.5000, 0.5000)  0.02
Se (0.7480, 0.7440, 0.4961)  -0.01
Na (0.5000, 0.0000, 0.5000)  0.00
Se (0.2236, 0.7202, 0.9966)  -0.04
Bi (0.5000, 0.5000, 0.0000)  0.02
Se (0.2520, 0.2560, 0.5039)  -0.01
Se (0.7763, 0.2797, 0.5525)  -0.04
Se (0.2270, 0.2798, 0.0034)  -0.04
Na (0.5000, 0.0000, 0.0000)  0.00
Bi (0.5000, 0.5000, 0.5000)  0.02
Se (0.7764, 0.2798, 0.0034)  -0.04
Na (0.0000, 0.0000, 0.0000)  0.00
Se (0.2237, 0.7203, 0.4475)  -0.04
Se (0.7730, 0.7202, 0.9966)  -0.04

- Magnetic moment: 2.965 μB/cell
- Space-group type: R-3m, No. 166
- Uncorrected energy: -4.120 eV per atom


A relaxed NaSrCrBi2 crystal, computed with PBE.

Lattice parameters (Å, degrees): 6.0828 5.7288 6.0828 90.00 90.00 90.00
Last column: magnetic moment on the atom in μB.
Fractional coordinates of all 5 atoms:
Bi (0.0000, 0.0000, 0.5000)  0.03
Na (0.0000, 0.5000, 0.0000)  -0.01
Bi (0.5000, 0.0000, 0.0000)  0.02
Cr (0.5000, 0.5000, 0.5000)  -1.01
Sr (0.0000, 0.0000, 0.0000)  -0.01

- E_form: 1428 meV per atom
- Magnetic moment: 1.118 μB/cell
- Space-group type: P4/mmm, No. 123


A relaxed NaTa2CrBi crystal, computed with PBE.

Lattice parameters (Å, degrees): 4.7132 5.2002 4.7132 90.00 90.00 90.00
Fractional coordinates of all 5 atoms:
Ta (0.5000, 0.0000, 0.0000)
Cr (0.0000, 0.0000, 0.0000)
Na (0.5000, 0.5000, 0.5000)
Ta (0.0000, 0.0000, 0.5000)
Bi (0.0000, 0.5000, 0.0000)

- E_form: 1049 meV per atom
- Magnetic moment: 0.000 μB/cell
- Space-group type: P4/mmm, No. 123


A relaxed Nb2CrBi crystal, computed with PBE.

Lattice parameters (Å, degrees): 3.9842 3.9842 10.7424 79.31 79.31 90.00
Last column: magnetic moment on the atom in μB.
Fractional coordinates of all 8 atoms:
Nb (0.3750, 0.3827, 0.7500)  -0.12
Nb (0.8750, 0.8673, 0.7500)  -0.10
Cr (0.5000, 0.5000, 0.0000)  3.07
Cr (0.2500, 0.7500, 0.5000)  3.07
Nb (0.6173, 0.1250, 0.2500)  -0.11
Bi (0.7500, 0.2500, 0.5000)  -0.10
Bi (0.0000, 0.0000, 0.0000)  -0.10
Nb (0.1327, 0.6250, 0.2500)  -0.10

- E_form: 698 meV per atom
- Magnetic moment: 5.951 μB/cell
- Space-group type: I-42d, No. 122
- Energy relative to the lowest polymorph listed for this composition: 161 meV per atom


A relaxed NbCrBi3 crystal, computed with PBE.

Lattice parameters (Å, degrees): 5.2304 5.2304 5.2304 90.00 90.00 90.00
Last column: magnetic moment on the atom in μB.
Fractional coordinates of all 5 atoms:
Nb (0.5000, 0.5000, 0.5000)  2.63
Bi (0.0000, 0.0000, 0.5000)  -0.06
Cr (0.0000, 0.0000, 0.0000)  2.61
Bi (0.0000, 0.5000, 0.0000)  -0.09
Bi (0.5000, 0.0000, 0.0000)  -0.19

- E_form: 982 meV per atom
- Magnetic moment: 5.838 μB/cell
- Space-group type: Pm-3m, No. 221
- Energy relative to the lowest polymorph listed for this composition: 0 meV per atom


A relaxed NbCr2Bi crystal, computed with PBE.

Lattice parameters (Å, degrees): 4.5200 4.5200 4.5200 60.00 60.00 60.00
Last column: magnetic moment on the atom in μB.
Fractional coordinates of all 4 atoms:
Cr (0.2500, 0.2500, 0.2500)  1.27
Bi (0.5000, 0.5000, 0.5000)  -0.04
Cr (0.7500, 0.7500, 0.7500)  1.27
Nb (0.0000, 0.0000, 0.0000)  -0.56

- E_form: 465 meV per atom
- Magnetic moment: 2.000 μB/cell
- Space-group type: Fm-3m, No. 225
- Energy relative to the lowest polymorph listed for this composition: 0 meV per atom


A relaxed NbCr2Bi crystal, computed with PBE.

Lattice parameters (Å, degrees): 4.0967 4.0967 9.5138 77.57 77.57 90.00
Fractional coordinates of all 8 atoms:
Cr (0.8750, 0.7861, 0.7500)
Bi (0.0000, 0.0000, 0.0000)
Nb (0.5000, 0.5000, 0.0000)
Cr (0.2139, 0.6250, 0.2500)
Cr (0.3750, 0.4639, 0.7500)
Bi (0.7500, 0.2500, 0.5000)
Cr (0.5361, 0.1250, 0.2500)
Nb (0.2500, 0.7500, 0.5000)

- E_form: 1036 meV per atom
- Magnetic moment: 0.000 μB/cell
- Space-group type: I-42d, No. 122
- Energy relative to the lowest polymorph listed for this composition: 571 meV per atom


A relaxed Nb2Cr2Bi crystal, computed with PBE.

Lattice parameters (Å, degrees): 3.3924 3.3924 8.3863 78.33 78.33 90.00
Fractional coordinates of all 5 atoms:
Cr (0.2500, 0.7500, 0.5000)
Bi (0.0000, 0.0000, 0.0000)
Nb (0.6244, 0.6244, 0.7513)
Nb (0.3756, 0.3756, 0.2487)
Cr (0.7500, 0.2500, 0.5000)

- E_form: 519 meV per atom
- Magnetic moment: 0.000 μB/cell
- Space-group type: I4/mmm, No. 139
- Energy relative to the lowest polymorph listed for this composition: 0 meV per atom


A relaxed NbCrBi crystal, computed with PBE.

Lattice parameters (Å, degrees): 3.1955 4.5300 9.8569 97.58 90.00 110.65
Fractional coordinates of all 6 atoms:
Nb (0.0637, 0.1275, 0.1560)
Cr (0.3465, 0.6929, 0.0452)
Bi (0.3748, 0.7497, 0.3455)
Nb (0.9363, 0.8725, 0.8440)
Cr (0.6535, 0.3071, 0.9548)
Bi (0.6252, 0.2503, 0.6545)

- E_form: 328 meV per atom
- Magnetic moment: 0.000 μB/cell
- Space-group type: C2/m, No. 12


A relaxed Nb2CrBi2 crystal, computed with PBE.

Lattice parameters (Å, degrees): 6.6977 6.6977 4.7835 90.00 90.00 90.00
Fractional coordinates of all 10 atoms:
Cr (0.0000, 0.0000, 0.0000)
Bi (0.6762, 0.8238, 0.5000)
Bi (0.8238, 0.3238, 0.5000)
Nb (0.6487, 0.1487, 0.0000)
Cr (0.5000, 0.5000, 0.0000)
Bi (0.3238, 0.1762, 0.5000)
Bi (0.1762, 0.6762, 0.5000)
Nb (0.3513, 0.8513, 0.0000)
Nb (0.8513, 0.6487, 0.0000)
Nb (0.1487, 0.3513, 0.0000)

- E_form: 647 meV per atom
- Magnetic moment: 0.000 μB/cell
- Space-group type: P4/mbm, No. 127
- Energy relative to the lowest polymorph listed for this composition: 0 meV per atom


A relaxed Nb2CrBi2 crystal, computed with PBE.

Lattice parameters (Å, degrees): 4.1535 4.1535 7.6059 74.15 74.15 90.00
Last column: magnetic moment on the atom in μB.
Fractional coordinates of all 5 atoms:
Nb (0.4143, 0.4143, 0.1714)  0.03
Bi (0.2500, 0.7500, 0.5000)  -0.02
Cr (0.0000, 0.0000, 0.0000)  -0.20
Bi (0.7500, 0.2500, 0.5000)  -0.02
Nb (0.5857, 0.5857, 0.8286)  0.03

- E_form: 1246 meV per atom
- Magnetic moment: 0.111 μB/cell
- Space-group type: I4/mmm, No. 139
- Energy relative to the lowest polymorph listed for this composition: 599 meV per atom


A relaxed Nb2CrBi crystal, computed with PBE.

Lattice parameters (Å, degrees): 4.7086 4.7086 4.7086 60.00 60.00 60.00
Last column: magnetic moment on the atom in μB.
Fractional coordinates of all 4 atoms:
Nb (0.7500, 0.7500, 0.7500)  0.50
Cr (0.0000, 0.0000, 0.0000)  -1.13
Bi (0.5000, 0.5000, 0.5000)  0.01
Nb (0.2500, 0.2500, 0.2500)  0.50

- E_form: 537 meV per atom
- Magnetic moment: 0.013 μB/cell
- Space-group type: Fm-3m, No. 225
- Energy relative to the lowest polymorph listed for this composition: 0 meV per atom


A relaxed Nb2Cr2Bi crystal, computed with PBE.

Lattice parameters (Å, degrees): 7.7365 7.7365 3.1548 90.00 90.00 90.00
Last column: magnetic moment on the atom in μB.
Fractional coordinates of all 10 atoms:
Cr (0.3654, 0.1346, 0.5000)  2.16
Bi (0.0000, 0.0000, 0.0000)  0.03
Bi (0.5000, 0.5000, 0.0000)  0.03
Nb (0.6402, 0.1403, 0.0000)  -0.41
Nb (0.1403, 0.3598, 0.0000)  -0.39
Nb (0.3598, 0.8598, 0.0000)  -0.41
Cr (0.8654, 0.3654, 0.5000)  2.23
Cr (0.1346, 0.6346, 0.5000)  2.23
Cr (0.6346, 0.8654, 0.5000)  2.16
Nb (0.8598, 0.6402, 0.0000)  -0.39

- E_form: 610 meV per atom
- Magnetic moment: 7.814 μB/cell
- Space-group type: P4/mbm, No. 127
- Energy relative to the lowest polymorph listed for this composition: 91 meV per atom


A relaxed NbCr3Bi crystal, computed with PBE.

Lattice parameters (Å, degrees): 4.7983 4.7983 4.7983 90.00 90.00 90.00
Last column: magnetic moment on the atom in μB.
Fractional coordinates of all 5 atoms:
Cr (0.0000, 0.0000, 0.5000)  2.63
Cr (0.5000, 0.0000, 0.0000)  3.34
Cr (0.0000, 0.5000, 0.0000)  2.85
Bi (0.5000, 0.5000, 0.5000)  -0.27
Nb (0.0000, 0.0000, 0.0000)  -0.91

- E_form: 1327 meV per atom
- Magnetic moment: 8.446 μB/cell
- Space-group type: Pm-3m, No. 221
- Energy relative to the lowest polymorph listed for this composition: 0 meV per atom


A relaxed NbCrBi3 crystal, computed with PBE.

Lattice parameters (Å, degrees): 5.4750 5.4750 5.4750 90.00 90.00 90.00
Last column: magnetic moment on the atom in μB.
Fractional coordinates of all 5 atoms:
Bi (0.5000, 0.0000, 0.0000)  -0.02
Bi (0.0000, 0.0000, 0.5000)  -0.07
Bi (0.0000, 0.5000, 0.0000)  -0.06
Nb (0.0000, 0.0000, 0.0000)  0.02
Cr (0.5000, 0.5000, 0.5000)  0.74

- E_form: 1413 meV per atom
- Magnetic moment: 0.689 μB/cell
- Space-group type: Pm-3m, No. 221
- Energy relative to the lowest polymorph listed for this composition: 431 meV per atom